1.
Compound: Ba8InPb2
Source: Alexandria via LeMat-Bulk
Functional: PBE-GGA
Structure: relaxed

DOS at the Fermi energy in states/eV/atom: 1.0055
Calculated volume in Å³/atom: 45.7
VASP energy in eV for the cell shown: -57.471

a b c (Å): 5.900 9.878 17.265
angles (deg): 90.00 90.00 90.00
Space group Immm (No. 71)
Unique sites:
1 Ba 0.000 0.000 0.140 [4 per cell]
2 Ba 0.000 0.221 0.345 [8 per cell]
3 Ba 0.000 0.326 0.000 [4 per cell]
4 In 0.000 0.500 0.500 [2 per cell]
5 Pb 0.000 0.500 0.195 [4 per cell]


2.
Compound: Ba2In7Pb
Source: Alexandria via LeMat-Bulk
Functional: PBE-GGA
Structure: relaxed

DOS at the Fermi energy in states/eV/atom: 0.4665
Calculated volume in Å³/atom: 32.0
VASP energy in eV for the cell shown: -29.998

a b c (Å): 5.137 5.137 12.141
angles (deg): 90.00 90.00 90.00
Space group P-4m2 (No. 115)
Unique sites:
1 Ba 0.000 0.500 0.244 [2 per cell]
2 In 0.000 0.000 0.000 [1 per cell]
3 In 0.000 0.500 0.636 [2 per cell]
4 In 0.000 0.500 0.872 [2 per cell]
5 In 0.500 0.500 0.000 [1 per cell]
6 In 0.500 0.500 0.500 [1 per cell]
7 Pb 0.000 0.000 0.500 [1 per cell]


3.
Compound: Ba4In6Pb7
Source: Alexandria via LeMat-Bulk
Functional: PBE-GGA
Structure: relaxed

DOS at the Fermi energy in states/eV/atom: 0.5851
Calculated volume in Å³/atom: 33.6
VASP energy in eV for the cell shown: -112.021

a b c (Å): 10.452 10.452 10.452
angles (deg): 90.00 90.00 90.00
Space group Im-3m (No. 229)
Unique sites:
1 Ba 0.250 0.250 0.250 [8 per cell]
2 In 0.000 0.000 0.313 [12 per cell]
3 Pb 0.000 0.000 0.000 [2 per cell]
4 Pb 0.000 0.250 0.500 [12 per cell]


4.
Compound: BaInPb
Source: Alexandria via LeMat-Bulk
Functional: PBE-GGA
Structure: relaxed

DOS at the Fermi energy in states/eV/atom: 0.8675
Calculated volume in Å³/atom: 42.2
VASP energy in eV for the cell shown: -33.200

a b c (Å): 7.973 7.973 7.973
angles (deg): 90.00 90.00 90.00
Space group F-43m (No. 216)
Unique sites:
1 Ba 0.000 0.000 0.000 [4 per cell]
2 In 0.250 0.250 0.250 [4 per cell]
3 Pb 0.250 0.250 0.750 [4 per cell]


5.
Compound: Ba3InPb8
Source: Alexandria via LeMat-Bulk
Functional: PBE-GGA
Structure: relaxed

DOS at the Fermi energy in states/eV/atom: 0.3557
Calculated volume in Å³/atom: 35.6
VASP energy in eV for the cell shown: -126.625

a b c (Å): 6.7534 6.7534 32.4618
angles (deg): 90.00 90.00 120.00
Space group R3m (No. 160, hexagonal axes)
Unique sites:
1 Ba 0.0000 0.0000 0.0000 [3 per cell]
2 Ba 0.0000 0.0000 0.1290 [3 per cell]
3 Ba 0.0000 0.0000 0.6167 [3 per cell]
4 In 0.0000 0.0000 0.4927 [3 per cell]
5 Pb 0.0000 0.0000 0.3106 [3 per cell]
6 Pb 0.0000 0.0000 0.8122 [3 per cell]
7 Pb 0.0008 0.5004 0.0630 [9 per cell]
8 Pb 0.1676 0.3352 0.8950 [9 per cell]


6.
Compound: Ba2InPb2
Source: Alexandria via LeMat-Bulk
Functional: PBE-GGA
Structure: relaxed

DOS at the Fermi energy in states/eV/atom: 0.5842
Calculated volume in Å³/atom: 38.4
Polymorph energy (0 for the lowest one) in meV/atom: 58

a b c (Å): 8.391 8.391 5.452
angles (deg): 90.00 90.00 90.00
Space group P4/mbm (No. 127)
Unique sites:
1 Ba 0.170 0.330 0.000 [4 per cell]
2 In 0.000 0.000 0.500 [2 per cell]
3 Pb 0.135 0.635 0.500 [4 per cell]


7.
Compound: BaInPb2
Source: Alexandria via LeMat-Bulk
Functional: PBE-GGA
Structure: relaxed

DOS at the Fermi energy in states/eV/atom: 0.6941
Calculated volume in Å³/atom: 34.3
VASP energy in eV for the cell shown: -52.489

a b c (Å): 8.190 8.190 8.190
angles (deg): 90.00 90.00 90.00
Space group F-43m (No. 216)
Unique sites:
1 Ba 0.000 0.000 0.000 [4 per cell]
2 In 0.250 0.250 0.750 [4 per cell]
3 Pb 0.000 0.000 0.500 [4 per cell]
4 Pb 0.250 0.250 0.250 [4 per cell]


8.
Compound: Ba2In2Pb
Source: Alexandria via LeMat-Bulk
Functional: PBE-GGA
Structure: relaxed

DOS at the Fermi energy in states/eV/atom: 0.4012
Calculated volume in Å³/atom: 42.4
Polymorph energy (0 for the lowest one) in meV/atom: 398

a b c (Å): 5.542 5.542 13.803
angles (deg): 90.00 90.00 90.00
Space group I4/mmm (No. 139)
Unique sites:
1 Ba 0.000 0.500 0.250 [4 per cell]
2 In 0.000 0.000 0.096 [4 per cell]
3 Pb 0.000 0.000 0.500 [2 per cell]


9.
Compound: BaIn3Pb
Source: Alexandria via LeMat-Bulk
Functional: PBE-GGA
Structure: relaxed

DOS at the Fermi energy in states/eV/atom: 0.3608
Calculated volume in Å³/atom: 33.5
Polymorph energy (0 for the lowest one) in meV/atom: 19

a b c (Å): 6.822 7.000 7.020
angles (deg): 90.00 90.00 90.00
Space group Pmn2_1 (No. 31)
Unique sites:
1 Ba 0.000 0.238 0.000 [2 per cell]
2 In 0.000 0.604 0.666 [2 per cell]
3 In 0.249 0.267 0.509 [4 per cell]
4 Pb 0.000 0.902 0.364 [2 per cell]


10.
Compound: BaIn3Pb
Source: Alexandria via LeMat-Bulk
Functional: PBE-GGA
Structure: relaxed

DOS at the Fermi energy in states/eV/atom: 0.7270
Calculated volume in Å³/atom: 40.9
Polymorph energy (0 for the lowest one) in meV/atom: 402

a b c (Å): 5.894 5.894 5.894
angles (deg): 90.00 90.00 90.00
Space group Pm-3m (No. 221)
Unique sites:
1 Ba 0.000 0.000 0.000 [1 per cell]
2 In 0.000 0.500 0.500 [3 per cell]
3 Pb 0.500 0.500 0.500 [1 per cell]


11.
Compound: Ba2InPd6Pb
Source: Alexandria via LeMat-Bulk
Functional: PBE-GGA
Structure: relaxed

DOS at the Fermi energy in states/eV/atom: 0.2992
Calculated volume in Å³/atom: 25.0
VASP energy in eV for the cell shown: -92.476

a b c (Å): 13.125 5.776 9.129
angles (deg): 90.00 133.70 90.00
Space group C2/m (No. 12)
Unique sites:
1 Ba 0.247 0.000 0.288 [4 per cell]
2 In 0.000 0.500 0.000 [2 per cell]
3 Pd 0.020 0.254 0.770 [8 per cell]
4 Pd 0.248 0.500 0.092 [4 per cell]
5 Pb 0.000 0.000 0.500 [2 per cell]


12.
Compound: Ba2In3Pd4Pb
Source: Alexandria via LeMat-Bulk
Functional: PBE-GGA
Structure: relaxed

DOS at the Fermi energy in states/eV/atom: 0.3974
Calculated volume in Å³/atom: 25.8
VASP energy in eV for the cell shown: -42.306

a b c (Å): 4.884 4.884 10.812
angles (deg): 90.00 90.00 90.00
Space group P-4m2 (No. 115)
Unique sites:
1 Ba 0.000 0.500 0.237 [2 per cell]
2 In 0.000 0.500 0.884 [2 per cell]
3 In 0.500 0.500 0.500 [1 per cell]
4 Pd 0.000 0.000 0.000 [1 per cell]
5 Pd 0.000 0.500 0.631 [2 per cell]
6 Pd 0.500 0.500 0.000 [1 per cell]
7 Pb 0.000 0.000 0.500 [1 per cell]